Entry 1:
Density functional theory data (PBE) for a relaxed structure of Ce2Si5Rh3.

Unit cell a=8.193 b=8.193 c=8.193 alpha=138.14 beta=105.37 gamma=89.43
Element x y z (fractional)
Rh1 0.000 0.750 0.750
Si1 0.500 0.750 0.250
Rh2 0.250 0.861 0.388
Si2 0.225 0.975 0.750
Rh3 0.473 0.361 0.112
Si3 0.775 0.025 0.250
Si4 0.740 0.392 0.348
Si5 0.045 0.892 0.152
Si6 0.500 0.250 0.750
Rh4 0.000 0.250 0.250
Ce1 0.137 0.368 0.769
Ce2 0.863 0.632 0.231
Si7 0.955 0.108 0.848
Rh5 0.527 0.639 0.888
Ce3 0.600 0.868 0.731
Rh6 0.750 0.139 0.612
Si8 0.775 0.525 0.750
Si9 0.260 0.608 0.652
Ce4 0.400 0.132 0.269
Si10 0.225 0.475 0.250

SG: No. 72

=====

Entry 2:
Density functional theory data (PBE) for a relaxed structure of CeSi2Rh2.

Unit cell a=5.819 b=5.819 c=5.819 alpha=138.84 beta=138.84 gamma=59.62
Site moments in Bohr magnetons follow the coordinates.
Element x y z (fractional)
Rh1 0.250 0.750 0.500  0.00
Si1 0.379 0.379 0.000  0.00
Rh2 0.750 0.250 0.500  0.00
Si2 0.621 0.621 0.000  0.00
Ce1 0.000 0.000 0.000  0.47

SG: No. 139

=====

Entry 3:
Density functional theory data (PBE) for a relaxed structure of Ce3Si2Rh7.

Unit cell a=4.040 b=4.080 c=13.777 alpha=98.52 beta=90.00 gamma=90.00
Site moments in Bohr magnetons follow the coordinates.
Element x y z (fractional)
Si1 0.000 0.915 0.830  0.00
Rh1 0.000 0.791 0.582  0.00
Rh2 0.500 0.129 0.258  0.00
Ce1 0.500 0.301 0.602  0.00
Si2 0.000 0.085 0.170  0.00
Rh3 0.000 0.627 0.255  0.00
Rh4 0.000 0.373 0.745  0.00
Rh5 0.000 0.000 0.000  -0.05
Ce2 0.500 0.500 0.000  0.61
Ce3 0.500 0.699 0.398  0.00
Rh6 0.000 0.209 0.418  0.00
Rh7 0.500 0.871 0.742  0.00

SG: No. 65

=====

Entry 4:
Density functional theory data (PBE) for a relaxed structure of CeSi4Rh4.

Unit cell a=4.183 b=8.586 c=8.586 alpha=90.00 beta=90.00 gamma=90.00
Site moments in Bohr magnetons follow the coordinates.
Element x y z (fractional)
Rh1 0.500 0.357 0.906  0.01
Si1 0.500 0.837 0.278  0.00
Rh2 0.000 0.143 0.594  0.01
Si2 0.500 0.163 0.722  0.00
Rh3 0.000 0.857 0.406  0.01
Si3 0.500 0.722 0.837  0.00
Si4 0.000 0.338 0.778  0.00
Rh4 0.000 0.594 0.857  0.01
Rh5 0.500 0.643 0.094  0.01
Rh6 0.500 0.094 0.357  0.01
Rh7 0.500 0.906 0.643  0.01
Si5 0.000 0.222 0.338  0.00
Si6 0.000 0.662 0.222  0.00
Ce1 0.000 0.000 0.000  1.02
Ce2 0.500 0.500 0.500  1.02
Si7 0.500 0.278 0.163  0.00
Rh8 0.000 0.406 0.143  0.01
Si8 0.000 0.778 0.662  0.00

SG: No. 87

=====

Entry 5:
Density functional theory data (PBE) for a relaxed structure of Ce12SiRh6.

Unit cell a=8.075 b=8.075 c=8.075 alpha=96.80 beta=96.80 gamma=96.80
Site moments in Bohr magnetons follow the coordinates.
Element x y z (fractional)
Ce1 0.972 0.347 0.064  0.67
Ce2 0.574 0.188 0.408  0.52
Ce3 0.426 0.812 0.592  0.52
Ce4 0.064 0.972 0.347  0.67
Ce5 0.028 0.653 0.936  0.67
Ce6 0.812 0.592 0.426  0.52
Rh1 0.333 0.129 0.636  -0.05
Ce7 0.936 0.028 0.653  0.67
Rh2 0.667 0.871 0.364  -0.05
Ce8 0.592 0.426 0.812  0.52
Rh3 0.364 0.667 0.871  -0.05
Ce9 0.653 0.936 0.028  0.67
Ce10 0.188 0.408 0.574  0.52
Rh4 0.129 0.636 0.333  -0.05
Rh5 0.871 0.364 0.667  -0.05
Ce11 0.408 0.574 0.188  0.52
Rh6 0.636 0.333 0.129  -0.05
Ce12 0.347 0.064 0.972  0.67
Si1 0.000 0.000 0.000  -0.02

SG: No. 148

=====

Entry 6:
Density functional theory data (PBE) for a relaxed structure of CeSiRh4.

Unit cell a=5.147 b=5.147 c=9.448 alpha=105.81 beta=105.81 gamma=90.00
Element x y z (fractional)
Si1 0.250 0.750 0.500
Ce1 0.750 0.250 0.500
Si2 0.500 0.500 0.000
Rh1 0.140 0.391 0.782
Rh2 0.141 0.892 0.282
Rh3 0.610 0.859 0.718
Rh4 0.141 0.390 0.282
Rh5 0.609 0.358 0.218
Rh6 0.609 0.860 0.218
Rh7 0.642 0.391 0.782
Rh8 0.108 0.859 0.718
Ce2 0.000 0.000 0.000

SG: No. 141

=====

Entry 7:
Density functional theory data (PBE) for a relaxed structure of CeSiRh2.

Unit cell a=4.135 b=5.867 c=5.947 alpha=90.00 beta=90.00 gamma=90.00
Site moments in Bohr magnetons follow the coordinates.
Element x y z (fractional)
Si1 0.500 0.000 0.839  0.00
Rh1 0.500 0.734 0.162  -0.01
Ce1 0.000 0.000 0.371  0.27
Rh2 0.500 0.266 0.162  -0.01
Rh3 0.000 0.766 0.838  -0.01
Rh4 0.000 0.234 0.838  -0.01
Ce2 0.500 0.500 0.629  0.27
Si2 0.000 0.500 0.161  0.00

SG: No. 59

=====

Entry 8:
Density functional theory data (PBE) for a relaxed structure of Ce2Si4Rh5.

Unit cell a=5.651 b=5.614 c=7.490 alpha=79.06 beta=67.84 gamma=59.78
Site moments in Bohr magnetons follow the coordinates.
Element x y z (fractional)
Si1 0.216 0.301 0.266  0.00
Rh1 0.500 0.000 0.000  -0.02
Ce1 0.131 0.000 0.738  0.64
Si2 0.482 0.301 0.734  0.00
Ce2 0.869 0.000 0.262  0.64
Rh2 0.000 0.500 0.000  -0.02
Rh3 0.500 0.500 0.000  -0.02
Rh4 0.750 0.500 0.500  -0.01
Si3 0.784 0.699 0.734  0.00
Si4 0.518 0.699 0.266  0.00
Rh5 0.250 0.500 0.500  -0.01

SG: No. 69

=====

no.,uncorrected formation energy (kJ/mol of atoms),uncorrected energy (eV/atom),D(E_F) (states/eV/cell)
1,-94.3,-7.08,11.34
2,-102.8,-7.36,4.97
3,-69.1,-7.39,9.85
4,-73.2,-7.10,19.33
5,-35.1,-6.72,57.25
6,-10.8,-6.91,14.42
7,-85.5,-7.40,8.74
8,-89.9,-7.32,12.38